Entry 1:
Cs2SnRuI6: relaxed, PBE-GGA.

Lattice parameters (Å, degrees): 8.335 8.335 11.778 90.00 90.00 90.00
Space group I4/mmm (No. 139)
Asymmetric unit:
Cs1 0.000 0.500 0.250 (multiplicity 4)
Sn1 0.000 0.000 0.000 (multiplicity 2)
Ru1 0.000 0.000 0.500 (multiplicity 2)
I1 0.000 0.000 0.266 (multiplicity 4)
I2 0.234 0.234 0.500 (multiplicity 8)

Values from the calculation:
Uncorrected formation energy: -669 meV per atom
V: 818 Å³/cell


Entry 2:
CsTeRuI2: relaxed, PBE-GGA.

Lattice parameters (Å, degrees): 5.926 5.926 5.043 90.00 90.00 90.00
Space group P4/mmm (No. 123)
Asymmetric unit:
Cs1 0.000 0.000 0.000 (multiplicity 1)
Te1 0.500 0.500 0.000 (multiplicity 1)
Ru1 0.500 0.500 0.500 (multiplicity 1)
I1 0.000 0.500 0.500 (multiplicity 2)

Values from the calculation:
Uncorrected formation energy: -309 meV per atom
V: 177 Å³/cell


Entry 3:
CsTe2RuI: relaxed, PBE-GGA.

Lattice parameters (Å, degrees): 5.265 5.265 6.161 90.00 90.00 90.00
Space group P4/mmm (No. 123)
Asymmetric unit:
Cs1 0.000 0.000 0.000 (multiplicity 1)
Te1 0.000 0.500 0.500 (multiplicity 2)
Ru1 0.500 0.500 0.500 (multiplicity 1)
I1 0.500 0.500 0.000 (multiplicity 1)

Values from the calculation:
Uncorrected formation energy: -180 meV per atom
V: 171 Å³/cell


Uncorrected energy / eV per atom: -3.097 -3.583 -3.772